No. 1
VASP calculation (PBE) on a geometry-optimized BeCo2Ru structure.

Output
The calculation puts the volume at 11.4 A^3/atom. The calculation puts the total energy at -53.2 eV per cell.

a b c (Å): 2.752 4.236 7.830
angles (deg): 90.00 90.00 90.00
Positions (direct):
Be1 0.000 0.000 0.000
Be2 0.500 0.500 0.000
Co1 0.000 0.000 0.479
Co2 0.000 0.500 0.226
Co3 0.500 0.000 0.226
Co4 0.500 0.500 0.479
Ru1 0.000 0.500 0.758
Ru2 0.500 0.000 0.758

No. 2
VASP calculation (PBE) on a geometry-optimized BeCoSbRu structure.

Output
As for the uncorrected formation energy: -0.047 eV/atom. The calculation puts the volume at 13.2 A^3/atom.

a b c (Å): 5.957 5.957 5.957
angles (deg): 90.00 90.00 90.00
Positions (direct):
Be1 0.000 0.000 0.000
Be2 0.000 0.500 0.500
Be3 0.500 0.000 0.500
Be4 0.500 0.500 0.000
Co1 0.250 0.250 0.250
Co2 0.250 0.750 0.750
Co3 0.750 0.250 0.750
Co4 0.750 0.750 0.250
Sb1 0.000 0.000 0.500
Sb2 0.000 0.500 0.000
Sb3 0.500 0.000 0.000
Sb4 0.500 0.500 0.500
Ru1 0.250 0.250 0.750
Ru2 0.250 0.750 0.250
Ru3 0.750 0.250 0.250
Ru4 0.750 0.750 0.750

No. 3
VASP calculation (PBE) on a geometry-optimized Sc2Be2Co5Ru structure.

Output
The calculation puts the volume at 12.1 A^3/atom. The calculation puts the total energy at -134.3 eV per cell.

a b c (Å): 8.845 8.845 3.106
angles (deg): 90.00 90.00 90.00
Positions (direct):
Sc1 0.178 0.322 0.000
Sc2 0.322 0.822 0.000
Sc3 0.678 0.178 0.000
Sc4 0.822 0.678 0.000
Be1 0.117 0.617 0.000
Be2 0.383 0.117 0.000
Be3 0.617 0.883 0.000
Be4 0.883 0.383 0.000
Co1 0.000 0.500 0.500
Co2 0.066 0.786 0.500
Co3 0.214 0.066 0.500
Co4 0.286 0.566 0.500
Co5 0.434 0.286 0.500
Co6 0.500 0.000 0.500
Co7 0.566 0.714 0.500
Co8 0.714 0.434 0.500
Co9 0.786 0.934 0.500
Co10 0.934 0.214 0.500
Ru1 0.000 0.000 0.000
Ru2 0.500 0.500 0.000

No. 4
VASP calculation (PBE) on a geometry-optimized BeCoSnRu structure.

Output
The calculation puts the volume at 13.3 A^3/atom. The calculation puts the total energy at -97.0 eV per cell.

a b c (Å): 5.974 5.974 5.974
angles (deg): 90.00 90.00 90.00
Positions (direct):
Be1 0.000 0.000 0.000
Be2 0.000 0.500 0.500
Be3 0.500 0.000 0.500
Be4 0.500 0.500 0.000
Co1 0.250 0.250 0.750
Co2 0.250 0.750 0.250
Co3 0.750 0.250 0.250
Co4 0.750 0.750 0.750
Sn1 0.000 0.000 0.500
Sn2 0.000 0.500 0.000
Sn3 0.500 0.000 0.000
Sn4 0.500 0.500 0.500
Ru1 0.250 0.250 0.250
Ru2 0.250 0.750 0.750
Ru3 0.750 0.250 0.750
Ru4 0.750 0.750 0.250

No. 5
VASP calculation (PBE) on a geometry-optimized BeCoTcRu structure.

Output
The calculation puts the volume at 12.3 A^3/atom. The calculation puts the total energy at -121.2 eV per cell.

a b c (Å): 5.820 5.820 5.820
angles (deg): 90.00 90.00 90.00
Positions (direct):
Be1 0.000 0.000 0.000
Be2 0.000 0.500 0.500
Be3 0.500 0.000 0.500
Be4 0.500 0.500 0.000
Co1 0.250 0.250 0.250
Co2 0.250 0.750 0.750
Co3 0.750 0.250 0.750
Co4 0.750 0.750 0.250
Tc1 0.000 0.000 0.500
Tc2 0.000 0.500 0.000
Tc3 0.500 0.000 0.000
Tc4 0.500 0.500 0.500
Ru1 0.250 0.250 0.750
Ru2 0.250 0.750 0.250
Ru3 0.750 0.250 0.250
Ru4 0.750 0.750 0.750

No. 6
VASP calculation (PBE) on a geometry-optimized BeVCoRu structure.

Output
The calculation puts the volume at 11.4 A^3/atom. The calculation puts the total energy at -122.6 eV per cell.

a b c (Å): 5.671 5.671 5.671
angles (deg): 90.00 90.00 90.00
Positions (direct):
Be1 0.000 0.000 0.000
Be2 0.000 0.500 0.500
Be3 0.500 0.000 0.500
Be4 0.500 0.500 0.000
V1 0.000 0.000 0.500
V2 0.000 0.500 0.000
V3 0.500 0.000 0.000
V4 0.500 0.500 0.500
Co1 0.250 0.250 0.750
Co2 0.250 0.750 0.250
Co3 0.750 0.250 0.250
Co4 0.750 0.750 0.750
Ru1 0.250 0.250 0.250
Ru2 0.250 0.750 0.750
Ru3 0.750 0.250 0.750
Ru4 0.750 0.750 0.250

No. 7
VASP calculation (PBE) on a geometry-optimized BeCo2S2 structure.

Output
As for the uncorrected formation energy: 0.171 eV/atom. The calculation puts the volume at 12.0 A^3/atom. The distance to the lowest polymorph of the same formula comes out at 0 meV per atom.

a b c (Å): 6.122 6.122 3.194
angles (deg): 90.00 90.00 90.00
Positions (direct):
Be1 0.000 0.000 0.000
Be2 0.500 0.500 0.000
Co1 0.150 0.350 0.000
Co2 0.350 0.850 0.000
Co3 0.650 0.150 0.000
Co4 0.850 0.650 0.000
S1 0.170 0.670 0.500
S2 0.330 0.170 0.500
S3 0.670 0.830 0.500
S4 0.830 0.330 0.500

No. 8
VASP calculation (PBE) on a geometry-optimized Be2CoS structure.

Output
As for the uncorrected formation energy: 0.351 eV/atom. The calculation puts the volume at 14.3 A^3/atom.

a b c (Å): 5.204 5.204 8.451
angles (deg): 90.00 90.00 90.00
Positions (direct):
Be1 0.227 0.250 0.125
Be2 0.250 0.727 0.375
Be3 0.250 0.773 0.875
Be4 0.273 0.250 0.625
Be5 0.727 0.750 0.625
Be6 0.750 0.227 0.875
Be7 0.750 0.273 0.375
Be8 0.773 0.750 0.125
Co1 0.000 0.000 0.500
Co2 0.000 0.500 0.750
Co3 0.500 0.000 0.250
Co4 0.500 0.500 0.000
S1 0.000 0.000 0.000
S2 0.000 0.500 0.250
S3 0.500 0.000 0.750
S4 0.500 0.500 0.500

No. 9
VASP calculation (PBE) on a geometry-optimized BeCo2S structure.

Output
As for the uncorrected formation energy: 0.026 eV/atom. The calculation puts the volume at 9.9 A^3/atom. The distance to the lowest polymorph of the same formula comes out at 0 meV per atom.

a b c (Å): 5.420 5.420 5.420
angles (deg): 90.00 90.00 90.00
Positions (direct):
Be1 0.000 0.000 0.000
Be2 0.000 0.500 0.500
Be3 0.500 0.000 0.500
Be4 0.500 0.500 0.000
Co1 0.250 0.250 0.250
Co2 0.250 0.250 0.750
Co3 0.250 0.750 0.250
Co4 0.250 0.750 0.750
Co5 0.750 0.250 0.250
Co6 0.750 0.250 0.750
Co7 0.750 0.750 0.250
Co8 0.750 0.750 0.750
S1 0.000 0.000 0.500
S2 0.000 0.500 0.000
S3 0.500 0.000 0.000
S4 0.500 0.500 0.500

No. 10
VASP calculation (PBE) on a geometry-optimized BeCo2S2 structure.

Output
As for the uncorrected formation energy: 0.210 eV/atom. The calculation puts the volume at 13.0 A^3/atom. The distance to the lowest polymorph of the same formula comes out at 38 meV per atom.

a b c (Å): 4.373 4.373 6.813
angles (deg): 90.00 90.00 90.00
Positions (direct):
Be1 0.000 0.000 0.000
Be2 0.500 0.500 0.500
Co1 0.000 0.000 0.323
Co2 0.000 0.000 0.677
Co3 0.500 0.500 0.177
Co4 0.500 0.500 0.823
S1 0.000 0.500 0.250
S2 0.000 0.500 0.750
S3 0.500 0.000 0.250
S4 0.500 0.000 0.750

No. 11
VASP calculation (PBE) on a geometry-optimized BeCo2S structure.

Output
As for the uncorrected formation energy: 0.381 eV/atom. The calculation puts the volume at 14.0 A^3/atom. The distance to the lowest polymorph of the same formula comes out at 355 meV per atom.

a b c (Å): 4.881 4.881 9.396
angles (deg): 90.00 90.00 90.00
Positions (direct):
Be1 0.000 0.000 0.000
Be2 0.000 0.500 0.250
Be3 0.500 0.000 0.750
Be4 0.500 0.500 0.500
Co1 0.248 0.250 0.125
Co2 0.250 0.748 0.375
Co3 0.250 0.752 0.875
Co4 0.252 0.250 0.625
Co5 0.748 0.750 0.625
Co6 0.750 0.248 0.875
Co7 0.750 0.252 0.375
Co8 0.752 0.750 0.125
S1 0.000 0.000 0.500
S2 0.000 0.500 0.750
S3 0.500 0.000 0.250
S4 0.500 0.500 0.000

No. 12
VASP calculation (PBE) on a geometry-optimized ScBeCoS2 structure.

Output
As for the uncorrected formation energy: 0.289 eV/atom. The calculation puts the volume at 17.4 A^3/atom.

a b c (Å): 4.375 4.375 4.543
angles (deg): 90.00 90.00 90.00
Positions (direct):
Sc1 0.000 0.000 0.000
Be1 0.500 0.500 0.000
Co1 0.000 0.000 0.500
S1 0.000 0.500 0.500
S2 0.500 0.000 0.500

No. 13
VASP calculation (PBE) on a geometry-optimized TaBeCo2S structure.

Output
As for the uncorrected formation energy: 1.327 eV/atom. The calculation puts the volume at 19.1 A^3/atom.

a b c (Å): 4.549 4.549 4.610
angles (deg): 90.00 90.00 90.00
Positions (direct):
Ta1 0.000 0.000 0.000
Be1 0.500 0.500 0.500
Co1 0.000 0.500 0.000
Co2 0.500 0.000 0.000
S1 0.000 0.000 0.500

No. 14
VASP calculation (PBE) on a geometry-optimized BeCoSb2 structure.

Output
As for the uncorrected formation energy: 0.093 eV/atom. The calculation puts the volume at 16.8 A^3/atom.

a b c (Å): 3.785 3.863 4.960
angles (deg): 90.00 112.14 90.00
Positions (direct):
Be1 0.000 0.000 0.000
Co1 0.126 0.500 0.256
Sb1 0.425 0.500 0.853
Sb2 0.711 0.000 0.423

Let's list theoretical density in order: 8.295 9.137 6.884 8.962 8.997 8.011 5.299 3.164 6.632 4.869 4.716 3.380 5.917 7.698 Mg/m³.